[1]
Compound: YCoPt2
Source: Alexandria
Functional: GGA-PBEsol
Structure: optimized geometry

POSCAR file:
```
YCoPt2
1.0
-1.622 -2.951 0.420
2.392 -1.574 -1.821
3.068 -0.991 4.886
Co Pt Y
1 2 1
direct
0.500 0.500 0.806 Co
0.000 0.000 0.963 Pt
0.500 0.500 0.238 Pt
0.000 0.000 0.493 Y
```

Output
ρ	13.25	g/cm3
calculated total energy	-7.46	eV per atom
crystal system	tetragonal
magnetic moment	0.471	μB per atom
SG	P4mm, No. 99


[2]
Compound: ZrScRu4
Source: Alexandria
Functional: GGA-PBEsol
Structure: optimized geometry

POSCAR file:
```
ZrScRu4
1.0
5.130 0.000 0.000
2.565 4.442 0.000
2.565 1.481 4.188
Ru Sc Zr
4 1 1
direct
0.625 0.625 0.125 Ru
0.125 0.625 0.625 Ru
0.625 0.125 0.625 Ru
0.625 0.625 0.625 Ru
0.250 0.250 0.250 Sc
0.000 0.000 0.000 Zr
```

Output
ρ	9.40	g/cm3
calculated total energy	-9.73	eV per atom
crystal system	cubic
magnetic moment	0.000	μB per atom
SG	F-43m, No. 216


[3]
Compound: RbCuHg3
Source: Alexandria
Functional: GGA-PBEsol
Structure: optimized geometry

POSCAR file:
```
RbCuHg3
1.0
-4.481 1.299 -2.151
0.609 -3.706 -3.505
-2.438 -3.312 3.078
Cu Hg Rb
1 3 1
direct
0.000 0.000 0.000 Cu
0.000 0.500 0.000 Hg
0.000 0.000 0.500 Hg
0.500 0.000 0.000 Hg
0.500 0.500 0.500 Rb
```

Output
ρ	9.20	g/cm3
calculated total energy	-1.48	eV per atom
crystal system	cubic
magnetic moment	0.000	μB per atom
SG	Pm-3m, No. 221


[4]
Compound: YMgSi3
Source: Alexandria
Functional: GGA-PBEsol
Structure: optimized geometry

POSCAR file:
```
YMgSi3
1.0
5.176 0.000 0.000
0.000 5.176 0.000
0.000 0.000 5.176
Y Si Mg
1 3 1
direct
0.000 0.000 0.000 Y
0.000 0.500 0.000 Si
0.000 0.000 0.500 Si
0.500 0.000 0.000 Si
0.500 0.500 0.500 Mg
```

Output
ρ	2.36	g/cm3
calculated total energy	-4.17	eV per atom
crystal system	cubic
magnetic moment	0.000	μB per atom
SG	Pm-3m, No. 221